Density functional theory data (PBE) for a relaxed NaBi3Rh crystal.

Unit cell a=5.410 b=5.410 c=5.410 alpha=90.00 beta=90.00 gamma=90.00
Positions (direct):
Na (0.000, 0.000, 0.000)
Bi (0.000, 0.500, 0.500)
Bi (0.500, 0.000, 0.500)
Bi (0.500, 0.500, 0.000)
Rh (0.500, 0.500, 0.500)

For the spin magnetization, the calculation gives 0.00 μB per formula unit. Its energy above the most stable polymorph in this dataset is 25.2 kJ/mol of atoms. The formation enthalpy at 0 K is 0.097 eV per atom. Its density is 7.9 g/cm3.


Density functional theory data (PBE) for a relaxed NaBi2Rh crystal.

Unit cell a=15.649 b=7.001 c=7.615 alpha=90.00 beta=90.00 gamma=90.00
Positions (direct):
Na (0.116, 0.250, 0.080)
Na (0.119, 0.750, 0.054)
Na (0.381, 0.250, 0.554)
Na (0.384, 0.750, 0.580)
Na (0.616, 0.250, 0.420)
Na (0.619, 0.750, 0.446)
Na (0.881, 0.250, 0.946)
Na (0.884, 0.750, 0.920)
Bi (0.047, 0.007, 0.709)
Bi (0.047, 0.493, 0.709)
Bi (0.210, 0.005, 0.404)
Bi (0.210, 0.495, 0.404)
Bi (0.290, 0.505, 0.904)
Bi (0.290, 0.995, 0.904)
Bi (0.453, 0.507, 0.209)
Bi (0.453, 0.993, 0.209)
Bi (0.547, 0.007, 0.791)
Bi (0.547, 0.493, 0.791)
Bi (0.710, 0.005, 0.096)
Bi (0.710, 0.495, 0.096)
Bi (0.790, 0.505, 0.596)
Bi (0.790, 0.995, 0.596)
Bi (0.953, 0.507, 0.291)
Bi (0.953, 0.993, 0.291)
Rh (0.076, 0.750, 0.436)
Rh (0.190, 0.250, 0.706)
Rh (0.310, 0.750, 0.206)
Rh (0.424, 0.250, 0.936)
Rh (0.576, 0.750, 0.064)
Rh (0.690, 0.250, 0.794)
Rh (0.810, 0.750, 0.294)
Rh (0.924, 0.250, 0.564)

For the spin magnetization, the calculation gives 0.00 μB per formula unit. Its energy above the most stable polymorph in this dataset is 0.4 kJ/mol of atoms. The formation enthalpy at 0 K is -0.188 eV per atom. Its density is 8.7 g/cm3.


Density functional theory data (PBE) for a relaxed NaBiRh2 crystal.

Unit cell a=4.389 b=4.389 c=3.666 alpha=90.00 beta=90.00 gamma=90.00
Positions (direct):
Na (0.000, 0.000, 0.000)
Bi (0.500, 0.500, 0.000)
Rh (0.000, 0.500, 0.500)
Rh (0.500, 0.000, 0.500)

For the spin magnetization, the calculation gives 0.00 μB per formula unit. The formation enthalpy at 0 K is 0.055 eV per atom. Its density is 10.3 g/cm3.


Density functional theory data (PBE) for a relaxed Na2Bi4Rh3 crystal.

Unit cell a=8.980 b=7.899 c=5.986 alpha=79.28 beta=59.80 gamma=40.91
Positions (direct):
Na (0.098, 0.098, 0.902)
Na (0.902, 0.902, 0.098)
Bi (0.189, 0.520, 0.480)
Bi (0.480, 0.811, 0.189)
Bi (0.520, 0.189, 0.811)
Bi (0.811, 0.480, 0.520)
Rh (0.000, 0.000, 0.500)
Rh (0.500, 0.500, 0.000)
Rh (0.500, 0.500, 0.500)

For the spin magnetization, the calculation gives 0.00 μB per formula unit. The formation enthalpy at 0 K is -0.190 eV per atom. Its density is 8.8 g/cm3.


Density functional theory data (PBE) for a relaxed NaBi3Rh2 crystal.

Unit cell a=6.864 b=6.864 c=7.177 alpha=90.00 beta=90.00 gamma=120.00
Positions (direct):
Na (0.333, 0.667, 0.320)
Na (0.667, 0.333, 0.680)
Bi (0.170, 0.341, 0.730)
Bi (0.170, 0.830, 0.730)
Bi (0.341, 0.170, 0.270)
Bi (0.659, 0.830, 0.730)
Bi (0.830, 0.170, 0.270)
Bi (0.830, 0.659, 0.270)
Rh (0.000, 0.000, 0.000)
Rh (0.000, 0.500, 0.000)
Rh (0.500, 0.000, 0.000)
Rh (0.500, 0.500, 0.000)

For the spin magnetization, the calculation gives 0.00 μB per formula unit. The formation enthalpy at 0 K is -0.042 eV per atom. Its density is 9.7 g/cm3.


Density functional theory data (PBE) for a relaxed NaBi3Rh crystal.

Unit cell a=5.326 b=5.326 c=5.326 alpha=90.00 beta=90.00 gamma=90.00
Positions (direct):
Na (0.000, 0.000, 0.000)
Bi (0.000, 0.000, 0.500)
Bi (0.000, 0.500, 0.000)
Bi (0.500, 0.000, 0.000)
Rh (0.500, 0.500, 0.500)

For the spin magnetization, the calculation gives 0.00 μB per formula unit. Its energy above the most stable polymorph in this dataset is 119.0 kJ/mol of atoms. The formation enthalpy at 0 K is 1.069 eV per atom. Its density is 8.3 g/cm3.


Which of these has the highest density?
NaBiRh2


Which value of spin magnetization does entry 3 give?
0.00 μB per formula unit


What is the spin magnetization in the first record?
0.00 μB per formula unit


The highest density belongs to which entry?
NaBiRh2